Entry 1:
Here is crystalline LiCeSmMg at its relaxed geometry from Alexandria. Energies are from GGA-PBE.

Output
E_tot   -3.411 eV per atom
Volume   111.52 Å³/f.u.
DOS at the Fermi energy   2.22 states/eV/atom
Energy of formation from the pure elements   0.518 eV/f.u.

a = 5.4028 Å, b = 5.4028 Å, c = 5.4028 Å
α = 60.00°, β = 60.00°, γ = 60.00°
With the nearest neighbours (Å) after each atom.
Element x y z (fractional)
1 Sm 0.0000 0.0000 0.0000  4 Li 3.31, 4 Mg 3.31
2 Mg 0.7500 0.7500 0.7500  4 Ce 3.31, 4 Sm 3.31
3 Ce 0.5000 0.5000 0.5000  4 Li 3.31, 4 Mg 3.31
4 Li 0.2500 0.2500 0.2500  4 Ce 3.31, 4 Sm 3.31

***

Entry 2:
Here is crystalline LiCeMgSn at its relaxed geometry from Alexandria. Energies are from GGA-PBE.

Output
E_tot   -3.611 eV per atom
Volume   96.71 Å³/f.u.
DOS at the Fermi energy   1.98 states/eV/atom
Energy of formation from the pure elements   -1.000 eV/f.u.

a = 5.1523 Å, b = 5.1523 Å, c = 5.1523 Å
α = 60.00°, β = 60.00°, γ = 60.00°
With the nearest neighbours (Å) after each atom.
Element x y z (fractional)
1 Ce 0.0000 0.0000 0.0000  4 Sn 3.16, 4 Li 3.16
2 Sn 0.2500 0.2500 0.2500  4 Ce 3.16, 4 Mg 3.16
3 Mg 0.5000 0.5000 0.5000  4 Li 3.16, 4 Sn 3.16
4 Li 0.7500 0.7500 0.7500  4 Ce 3.16, 4 Mg 3.16

***

Entry 3:
Here is crystalline Li2Tb2CeMg5 at its relaxed geometry from Alexandria. Energies are from GGA-PBE.

Output
E_tot   -2.676 eV per atom
Volume   249.65 Å³/f.u.
DOS at the Fermi energy   1.34 states/eV/atom
Energy of formation from the pure elements   0.237 eV/f.u.

a = 4.4445 Å, b = 10.5991 Å, c = 10.5991 Å
α = 90.00°, β = 90.00°, γ = 90.00°
With the nearest neighbours (Å) after each atom.
Element x y z (fractional)
1 Mg 0.5000 0.7828 0.9402  2 Li 2.92, 1 Mg 3.06, 2 Ce 3.26
2 Mg 0.5000 0.2828 0.5598  2 Li 2.92, 1 Mg 3.06, 2 Ce 3.26
3 Mg 0.5000 0.5000 0.0000  4 Li 2.79, 4 Mg 3.06
4 Mg 0.5000 0.7172 0.4402  2 Li 2.92, 1 Mg 3.06, 2 Ce 3.26
5 Mg 0.5000 0.2172 0.0598  2 Li 2.92, 1 Mg 3.06, 2 Ce 3.26
6 Mg 0.5000 0.5598 0.7172  2 Li 2.92, 1 Mg 3.06, 2 Ce 3.26
7 Mg 0.5000 0.4402 0.2828  2 Li 2.92, 1 Mg 3.06, 2 Ce 3.26
8 Mg 0.5000 0.0000 0.5000  4 Li 2.79, 4 Mg 3.06
9 Mg 0.5000 0.9402 0.2172  2 Li 2.92, 1 Mg 3.06, 2 Ce 3.26
10 Mg 0.5000 0.0598 0.7828  2 Li 2.92, 1 Mg 3.06, 2 Ce 3.26
11 Tb 0.0000 0.6816 0.1816  3 Li 3.08-3.20
12 Tb 0.0000 0.1816 0.3184  3 Li 3.08-3.20
13 Tb 0.0000 0.8184 0.6816  3 Li 3.08-3.20
14 Tb 0.0000 0.3184 0.8184  3 Li 3.08-3.20
15 Ce 0.0000 0.5000 0.5000  8 Mg 3.26
16 Ce 0.0000 0.0000 0.0000  8 Mg 3.26
17 Li 0.0000 0.6127 0.8873  6 Mg 2.79-2.92, 1 Tb 3.08
18 Li 0.0000 0.1127 0.6127  6 Mg 2.79-2.92, 1 Tb 3.08
19 Li 0.0000 0.8873 0.3873  6 Mg 2.79-2.92, 1 Tb 3.08
20 Li 0.0000 0.3873 0.1127  6 Mg 2.79-2.92, 1 Tb 3.08

***

Entry 4:
Here is crystalline LiTbCeMg at its relaxed geometry from Alexandria. Energies are from GGA-PBE.

Output
E_tot   -3.387 eV per atom
Volume   109.06 Å³/f.u.
DOS at the Fermi energy   2.19 states/eV/atom
Energy of formation from the pure elements   0.526 eV/f.u.

a = 5.3628 Å, b = 5.3628 Å, c = 5.3628 Å
α = 60.00°, β = 60.00°, γ = 60.00°
With the nearest neighbours (Å) after each atom.
Element x y z (fractional)
1 Ce 0.2500 0.2500 0.2500  4 Li 3.28, 4 Mg 3.28
2 Li 0.0000 0.0000 0.0000  4 Tb 3.28, 4 Ce 3.28
3 Tb 0.7500 0.7500 0.7500  4 Mg 3.28, 4 Li 3.28
4 Mg 0.5000 0.5000 0.5000  4 Tb 3.28, 4 Ce 3.28

***

Entry 5:
Here is crystalline LiCe2MgTl4 at its relaxed geometry from Alexandria. Energies are from GGA-PBE.

Output
E_tot   -3.347 eV per atom
Volume   211.07 Å³/f.u.
DOS at the Fermi energy   1.62 states/eV/atom
Energy of formation from the pure elements   -1.932 eV/f.u.

a = 5.3124 Å, b = 5.3124 Å, c = 9.1645 Å
α = 73.15°, β = 73.15°, γ = 60.00°
With the nearest neighbours (Å) after each atom.
Element x y z (fractional)
1 Tl 0.3781 0.3781 0.8656  1 Li 3.16, 4 Ce 3.21-3.26, 3 Mg 3.28
2 Tl 0.1272 0.1272 0.6184  3 Li 3.23, 4 Ce 3.24-3.29, 1 Mg 3.30
3 Tl 0.6219 0.6219 0.1344  1 Li 3.16, 4 Ce 3.21-3.26, 3 Mg 3.28
4 Tl 0.8728 0.8728 0.3816  3 Li 3.23, 4 Ce 3.24-3.29, 1 Mg 3.30
5 Mg 0.0000 0.0000 0.0000  8 Tl 3.28-3.30
6 Ce 0.7478 0.7478 0.7566  8 Tl 3.21-3.29
7 Ce 0.2522 0.2522 0.2434  8 Tl 3.21-3.29
8 Li 0.5000 0.5000 0.5000  8 Tl 3.16-3.23

***

Entry 6:
Here is crystalline LiCeMgTl2 at its relaxed geometry from Alexandria. Energies are from GGA-PBE.

Output
E_tot   -2.941 eV per atom
Volume   126.28 Å³/f.u.
DOS at the Fermi energy   1.81 states/eV/atom
Energy of formation from the pure elements   -0.529 eV/f.u.

a = 6.6648 Å, b = 5.5689 Å, c = 6.8049 Å
α = 90.00°, β = 90.00°, γ = 90.00°
With the nearest neighbours (Å) after each atom.
Element x y z (fractional)
1 Tl 0.2698 0.7500 0.2582  2 Li 2.87, 1 Mg 2.98
2 Tl 0.7302 0.2500 0.7418  2 Li 2.87, 1 Mg 2.98
3 Tl 0.2698 0.7500 0.7418  2 Li 2.87, 1 Mg 2.98
4 Tl 0.7302 0.2500 0.2582  2 Li 2.87, 1 Mg 2.98
5 Ce 0.7749 0.7500 0.5000  4 Tl 3.25, 2 Mg 3.53
6 Ce 0.2251 0.2500 0.5000  4 Tl 3.25, 2 Mg 3.53
7 Mg 0.3689 0.2500 0.0000  2 Li 2.83, 2 Tl 2.98
8 Mg 0.6311 0.7500 0.0000  2 Li 2.83, 2 Tl 2.98
9 Li 0.0000 0.0000 0.0000  2 Li 2.78, 2 Mg 2.83, 4 Tl 2.87
10 Li 0.0000 0.5000 0.0000  2 Li 2.78, 2 Mg 2.83, 4 Tl 2.87

***

Entry 7:
Here is crystalline LiCeTmMg at its relaxed geometry from Alexandria. Energies are from GGA-PBE.

Output
E_tot   -3.345 eV per atom
Volume   106.51 Å³/f.u.
DOS at the Fermi energy   2.11 states/eV/atom
Energy of formation from the pure elements   0.535 eV/f.u.

a = 5.3207 Å, b = 5.3207 Å, c = 5.3207 Å
α = 60.00°, β = 60.00°, γ = 60.00°
With the nearest neighbours (Å) after each atom.
Element x y z (fractional)
1 Mg 0.5000 0.5000 0.5000  4 Tm 3.26, 4 Ce 3.26
2 Li 0.0000 0.0000 0.0000  4 Ce 3.26, 4 Tm 3.26
3 Tm 0.7500 0.7500 0.7500  4 Mg 3.26, 4 Li 3.26
4 Ce 0.2500 0.2500 0.2500  4 Mg 3.26, 4 Li 3.26

***

Entry 8:
Here is crystalline Li2CeY2Mg5 at its relaxed geometry from Alexandria. Energies are from GGA-PBE.

Output
E_tot   -3.052 eV per atom
Volume   249.44 Å³/f.u.
DOS at the Fermi energy   1.46 states/eV/atom
Energy of formation from the pure elements   0.143 eV/f.u.

a = 4.4165 Å, b = 10.6282 Å, c = 10.6282 Å
α = 90.00°, β = 90.00°, γ = 90.00°
With the nearest neighbours (Å) after each atom.
Element x y z (fractional)
1 Ce 0.0000 0.5000 0.5000  8 Mg 3.26
2 Ce 0.0000 0.0000 0.0000  8 Mg 3.26
3 Mg 0.5000 0.9400 0.2175  2 Li 2.91, 1 Mg 3.07
4 Mg 0.5000 0.2825 0.5600  2 Li 2.91, 1 Mg 3.07
5 Mg 0.5000 0.4400 0.2825  2 Li 2.91, 1 Mg 3.07
6 Mg 0.5000 0.0600 0.7825  2 Li 2.91, 1 Mg 3.07
7 Mg 0.5000 0.5600 0.7175  2 Li 2.91, 1 Mg 3.07
8 Mg 0.5000 0.2175 0.0600  2 Li 2.91, 1 Mg 3.07
9 Mg 0.5000 0.0000 0.5000  4 Li 2.79, 4 Mg 3.07
10 Mg 0.5000 0.7175 0.4400  2 Li 2.91, 1 Mg 3.07
11 Mg 0.5000 0.5000 0.0000  4 Li 2.79, 4 Mg 3.07
12 Mg 0.5000 0.7825 0.9400  2 Li 2.91, 1 Mg 3.07
13 Li 0.0000 0.6130 0.8870  6 Mg 2.79-2.91, 1 Y 3.09
14 Li 0.0000 0.8870 0.3870  6 Mg 2.79-2.91, 1 Y 3.09
15 Li 0.0000 0.1130 0.6130  6 Mg 2.79-2.91, 1 Y 3.09
16 Li 0.0000 0.3870 0.1130  6 Mg 2.79-2.91, 1 Y 3.09
17 Y 0.0000 0.1813 0.3187  3 Li 3.09-3.21
18 Y 0.0000 0.6813 0.1813  3 Li 3.09-3.21
19 Y 0.0000 0.3187 0.8187  3 Li 3.09-3.21
20 Y 0.0000 0.8187 0.6813  3 Li 3.09-3.21